Record 1
A plane-wave DFT calculation with PBE-GGA was carried out for an optimized crystal structure of Li2TaRh2.

Output
The total energy is -31.21 eV/f.u. The value obtained for the energy of formation is -0.83 eV per formula unit.

Lattice parameters (Å, degrees): 6.8033 6.8033 2.8776 90.00 90.00 90.00
Fractional positions:
Li 0.3923 0.8923 0.0000
Li 0.8923 0.6077 0.0000
Li 0.6077 0.1077 0.0000
Li 0.1077 0.3923 0.0000
Rh 0.1926 0.6926 0.5000
Rh 0.6926 0.8074 0.5000
Rh 0.8074 0.3074 0.5000
Rh 0.3074 0.1926 0.5000
Ta 0.0000 0.0000 0.0000
Ta 0.5000 0.5000 0.0000

---

Record 2
A plane-wave DFT calculation with PBE-GGA was carried out for an optimized crystal structure of Pr3SmRh2.

Output
The total energy is -36.40 eV/f.u. The value obtained for the energy of formation is -2.64 eV per formula unit.

Lattice parameters (Å, degrees): 6.9680 7.3397 8.6244 115.18 113.83 90.00
Fractional positions:
Pr 0.5000 0.2500 0.0000
Pr 0.5000 0.7500 0.0000
Pr 0.7678 0.0178 0.5356
Pr 0.2322 0.4822 0.4644
Pr 0.2322 0.9822 0.4644
Pr 0.7678 0.5178 0.5356
Sm 0.0000 0.5000 0.0000
Sm 0.0000 0.0000 0.0000
Rh 0.5774 0.3635 0.7270
Rh 0.8504 0.1365 0.2730
Rh 0.1496 0.8635 0.7270
Rh 0.4226 0.6365 0.2730

---

Record 3
A plane-wave DFT calculation with PBE-GGA was carried out for an optimized crystal structure of La2NiPt.

Output
The total energy is -24.12 eV/f.u. The value obtained for the energy of formation is -2.44 eV per formula unit.

Lattice parameters (Å, degrees): 4.1363 4.1363 7.5366 74.07 74.07 60.00
Fractional positions:
La 0.0815 0.0815 0.7554
La 0.2505 0.2505 0.2484
Ni 0.5024 0.5024 0.4928
Pt 0.6656 0.6656 0.0034

---

Record 4
A plane-wave DFT calculation with PBE-GGA was carried out for an optimized crystal structure of YMoPb2.

Output
The total energy is -23.55 eV/f.u. The value obtained for the energy of formation is 1.16 eV per formula unit.

Lattice parameters (Å, degrees): 4.4990 4.6415 4.6415 90.00 90.00 90.00
Each line ends with the local moment (μB).
Fractional positions:
Mo 0.5000 0.0000 0.5000  1.73
Pb 0.0000 0.0000 0.0000  -0.01
Pb 0.0000 0.5000 0.5000  -0.01
Y 0.5000 0.5000 0.0000  -0.06

---

Record 5
A plane-wave DFT calculation with PBE-GGA was carried out for an optimized crystal structure of Cs2HgF5.

Output
The total energy is -27.02 eV/f.u. The calculation puts the formation energy (no corrections) at -1957 meV per atom.

Lattice parameters (Å, degrees): 6.7358 6.7357 6.5128 121.18 121.18 89.98
Each line ends with the local moment (μB).
Fractional positions:
Cs 0.2459 0.7462 0.4923  0.00
Cs 0.7462 0.2459 0.4923  0.00
Hg 0.9889 0.9889 0.9778  0.27
F 0.7930 0.2365 0.0295  0.16
F 0.2367 0.2367 0.0299  0.16
F 0.7928 0.7928 0.0292  0.16
F 0.2364 0.7930 0.0295  0.16
F 0.7371 0.7371 0.4735  0.10

---

Record 6
A plane-wave DFT calculation with PBE-GGA was carried out for an optimized crystal structure of UFe2Ge2.

Output
The total energy is -37.95 eV/f.u. The value obtained for the energy of formation is -0.50 eV per formula unit.

Lattice parameters (Å, degrees): 4.9087 4.9087 5.8161 125.55 125.50 67.93
Each line ends with the local moment (μB).
Fractional positions:
U 0.5000 0.0000 0.5000  0.62
Fe 0.7570 0.2571 0.0140  -0.06
Fe 0.2430 0.7429 0.9860  -0.06
Ge 0.7499 0.7502 0.0000  0.00
Ge 0.2501 0.2498 0.0000  0.00

---

Record 7
A plane-wave DFT calculation with PBE-GGA was carried out for an optimized crystal structure of CeRhAu.

Output
The total energy is -18.63 eV/f.u. The value obtained for the energy of formation is -2.06 eV per formula unit.

Lattice parameters (Å, degrees): 4.4658 5.5787 5.3997 90.00 114.43 90.00
Each line ends with the local moment (μB).
Fractional positions:
Ce 0.3126 0.7500 0.1251  0.37
Ce 0.6874 0.2500 0.8749  0.37
Rh 0.6211 0.7500 0.7421  -0.04
Rh 0.3789 0.2500 0.2579  -0.04
Au 0.0000 0.5000 0.5000  0.01
Au 0.0000 0.0000 0.5000  0.01

---

Record 8
A plane-wave DFT calculation with PBE-GGA was carried out for an optimized crystal structure of Rb2Pb6Au.

Output
The total energy is -28.63 eV/f.u. The value obtained for the energy of formation is -1.16 eV per formula unit.

Lattice parameters (Å, degrees): 6.8399 7.2193 7.2193 60.00 90.00 90.00
Fractional positions:
Rb 0.8542 0.6667 0.6667
Rb 0.1458 0.3333 0.3333
Pb 0.3230 0.3317 0.8341
Pb 0.3231 0.8342 0.8342
Pb 0.3230 0.8341 0.3317
Pb 0.6770 0.6683 0.1659
Pb 0.6769 0.1658 0.1658
Pb 0.6770 0.1659 0.6683
Au 0.0000 0.0000 0.0000